No. 1
DFT (PBE-GGA) results for a relaxed structure of Tb4Y2MgSc.

Values from the calculation:
Energy relative to the elements (kJ/mol of atoms): 2.91
Spin magnetization (μB per formula unit): 0.0

```
Tb4Y2MgSc
1.0
4.9460 0.0000 0.0000
0.0000 4.8474 0.9889
0.0001 2.8930 10.6054
Tb Y Mg Sc
4 2 1 1
Cartesian
0.0001 5.8113 8.6688
4.9460 1.9291 2.9256
2.4730 4.3515 3.4179
2.4730 3.3889 8.1764
0.0001 2.8930 10.6054
2.4730 1.4465 5.3027
2.4730 2.4237 0.4945
0.0000 3.8702 5.7972
```

No. 2
DFT (PBE-GGA) results for a relaxed structure of SmCuPd.

Values from the calculation:
Energy relative to the elements (kJ/mol of atoms): -53.78
Spin magnetization (μB per formula unit): 0.0
Relative energy among the computed polymorphs (meV/atom): 12

```
SmCuPd
1.0
4.3732 0.0820 0.1253
2.0946 5.3070 -0.2607
2.0217 0.8507 5.1788
Pd Cu Sm
2 2 2
Cartesian
2.1015 1.8169 1.9022
6.3880 4.4228 3.1411
4.3316 0.7931 1.1382
4.1580 5.4467 3.9051
4.2728 3.9682 0.9644
4.2168 2.2715 4.0789
```

No. 3
DFT (PBE-GGA) results for a relaxed structure of CuTe2.

Values from the calculation:
Spin magnetization (μB per formula unit): 0.0
Energy relative to the elements, uncorrected (eV/atom): 0.05

```
CuTe2
1.0
-5.5422 1.9883 1.3808
-5.3761 -1.9118 2.0047
-3.8225 0.5811 4.6504
Cu Te
1 2
Cartesian
-0.0130 0.0006 0.0071
-11.1272 0.4964 6.0660
-8.5137 0.3798 4.6412
```